No. 1
The following is a DFT calculation (PBE-GGA) of crystalline CoNi2P at its relaxed geometry.

CIF file:
```
data_CoNi2P
_cell_length_a 2.723
_cell_length_b 3.907
_cell_length_c 8.160
_cell_angle_alpha 90.00
_cell_angle_beta 90.00
_cell_angle_gamma 90.00
_space_group_name_H-M_alt 'P 1'
_space_group_IT_number 1
loop_
_space_group_symop_operation_xyz
'x,y,z'
loop_
_atom_site_label
_atom_site_type_symbol
_atom_site_fract_x
_atom_site_fract_y
_atom_site_fract_z
Co1 Co 0.000 0.000 0.000
Co2 Co 0.500 0.500 0.500
Ni1 Ni 0.000 0.500 0.214
Ni2 Ni 0.000 0.500 0.786
Ni3 Ni 0.500 0.000 0.286
Ni4 Ni 0.500 0.000 0.714
P1 P 0.000 0.000 0.500
P2 P 0.500 0.500 0.000
```

Values from the calculation:
Energy of formation (meV per atom): -212
DFT total energy (eV per atom): -6.23
Magnetic moment (μB/atom): 0.2473

No. 2
The following is a DFT calculation (PBE-GGA) of crystalline CoNi2P at its relaxed geometry.

CIF file:
```
data_CoNi2P
_cell_length_a 2.834
_cell_length_b 3.922
_cell_length_c 7.846
_cell_angle_alpha 90.00
_cell_angle_beta 90.00
_cell_angle_gamma 90.00
_space_group_name_H-M_alt 'P 1'
_space_group_IT_number 1
loop_
_space_group_symop_operation_xyz
'x,y,z'
loop_
_atom_site_label
_atom_site_type_symbol
_atom_site_fract_x
_atom_site_fract_y
_atom_site_fract_z
Co1 Co 0.000 0.000 0.000
Co2 Co 0.500 0.500 0.500
Ni1 Ni 0.000 0.000 0.430
Ni2 Ni 0.000 0.500 0.214
Ni3 Ni 0.500 0.000 0.714
Ni4 Ni 0.500 0.500 0.930
P1 P 0.000 0.500 0.714
P2 P 0.500 0.000 0.214
```

Values from the calculation:
Energy of formation (meV per atom): -213
DFT total energy (eV per atom): -6.23
Magnetic moment (μB/atom): 0.2715

No. 3
The following is a DFT calculation (PBE-GGA) of crystalline CoNi2P at its relaxed geometry.

CIF file:
```
data_CoNi2P
_cell_length_a 3.441
_cell_length_b 3.441
_cell_length_c 3.555
_cell_angle_alpha 90.00
_cell_angle_beta 90.00
_cell_angle_gamma 90.00
_space_group_name_H-M_alt 'P 1'
_space_group_IT_number 1
loop_
_space_group_symop_operation_xyz
'x,y,z'
loop_
_atom_site_label
_atom_site_type_symbol
_atom_site_fract_x
_atom_site_fract_y
_atom_site_fract_z
Co1 Co 0.000 0.000 0.000
Ni1 Ni 0.000 0.500 0.500
Ni2 Ni 0.500 0.000 0.500
P1 P 0.500 0.500 0.000
```

Values from the calculation:
Energy of formation (meV per atom): -224
DFT total energy (eV per atom): -6.24
Magnetic moment (μB/atom): 0.0757

No. 4
The following is a DFT calculation (PBE-GGA) of crystalline CoNiP at its relaxed geometry.

CIF file:
```
data_CoNiP
_cell_length_a 2.690
_cell_length_b 2.690
_cell_length_c 5.388
_cell_angle_alpha 90.00
_cell_angle_beta 90.00
_cell_angle_gamma 120.00
_space_group_name_H-M_alt 'P 1'
_space_group_IT_number 1
loop_
_space_group_symop_operation_xyz
'x,y,z'
loop_
_atom_site_label
_atom_site_type_symbol
_atom_site_fract_x
_atom_site_fract_y
_atom_site_fract_z
Co1 Co 0.000 0.000 0.000
Ni1 Ni 0.667 0.333 0.385
P1 P 0.333 0.667 0.700
```

Values from the calculation:
Energy of formation (meV per atom): -97
DFT total energy (eV per atom): -6.20
Magnetic moment (μB/atom): 0.2678

No. 5
The following is a DFT calculation (PBE-GGA) of crystalline CoNi2P at its relaxed geometry.

CIF file:
```
data_CoNi2P
_cell_length_a 2.623
_cell_length_b 3.197
_cell_length_c 5.127
_cell_angle_alpha 90.00
_cell_angle_beta 90.00
_cell_angle_gamma 90.00
_space_group_name_H-M_alt 'P 1'
_space_group_IT_number 1
loop_
_space_group_symop_operation_xyz
'x,y,z'
loop_
_atom_site_label
_atom_site_type_symbol
_atom_site_fract_x
_atom_site_fract_y
_atom_site_fract_z
Co1 Co 0.000 0.000 0.000
Ni1 Ni 0.000 0.000 0.524
Ni2 Ni 0.500 0.500 0.268
P1 P 0.500 0.500 0.785
```

Values from the calculation:
Energy of formation (meV per atom): -104
DFT total energy (eV per atom): -6.12
Magnetic moment (μB/atom): 0.0292

No. 6
The following is a DFT calculation (PBE-GGA) of crystalline CoNi2P at its relaxed geometry.

CIF file:
```
data_CoNi2P
_cell_length_a 3.364
_cell_length_b 3.364
_cell_length_c 16.384
_cell_angle_alpha 90.00
_cell_angle_beta 90.00
_cell_angle_gamma 90.00
_space_group_name_H-M_alt 'P 1'
_space_group_IT_number 1
loop_
_space_group_symop_operation_xyz
'x,y,z'
loop_
_atom_site_label
_atom_site_type_symbol
_atom_site_fract_x
_atom_site_fract_y
_atom_site_fract_z
Co1 Co 0.000 0.000 0.000
Co2 Co 0.000 0.500 0.250
Co3 Co 0.500 0.000 0.750
Co4 Co 0.500 0.500 0.500
Ni1 Ni 0.243 0.250 0.625
Ni2 Ni 0.250 0.743 0.875
Ni3 Ni 0.250 0.757 0.375
Ni4 Ni 0.257 0.250 0.125
Ni5 Ni 0.743 0.750 0.125
Ni6 Ni 0.750 0.243 0.375
Ni7 Ni 0.750 0.257 0.875
Ni8 Ni 0.757 0.750 0.625
P1 P 0.000 0.000 0.500
P2 P 0.000 0.500 0.750
P3 P 0.500 0.000 0.250
P4 P 0.500 0.500 0.000
```

Values from the calculation:
Energy of formation (meV per atom): 69
DFT total energy (eV per atom): -5.95
Magnetic moment (μB/atom): 0.0001

No. 7
The following is a DFT calculation (PBE-GGA) of crystalline CoNiP at its relaxed geometry.

CIF file:
```
data_CoNiP
_cell_length_a 5.825
_cell_length_b 5.825
_cell_length_c 3.317
_cell_angle_alpha 90.00
_cell_angle_beta 90.00
_cell_angle_gamma 120.00
_space_group_name_H-M_alt 'P 1'
_space_group_IT_number 1
loop_
_space_group_symop_operation_xyz
'x,y,z'
loop_
_atom_site_label
_atom_site_type_symbol
_atom_site_fract_x
_atom_site_fract_y
_atom_site_fract_z
Co1 Co 0.000 0.608 0.000
Co2 Co 0.392 0.392 0.000
Co3 Co 0.608 0.000 0.000
Ni1 Ni 0.000 0.261 0.500
Ni2 Ni 0.261 0.000 0.500
Ni3 Ni 0.739 0.739 0.500
P1 P 0.000 0.000 0.000
P2 P 0.333 0.667 0.500
P3 P 0.667 0.333 0.500
```

Values from the calculation:
Energy of formation (meV per atom): -489
DFT total energy (eV per atom): -6.59
Magnetic moment (μB/atom): 0.0001

No. 8
The following is a DFT calculation (PBE-GGA) of crystalline CoNi3P at its relaxed geometry.

CIF file:
```
data_CoNi3P
_cell_length_a 4.106
_cell_length_b 4.106
_cell_length_c 4.106
_cell_angle_alpha 90.00
_cell_angle_beta 90.00
_cell_angle_gamma 90.00
_space_group_name_H-M_alt 'P 1'
_space_group_IT_number 1
loop_
_space_group_symop_operation_xyz
'x,y,z'
loop_
_atom_site_label
_atom_site_type_symbol
_atom_site_fract_x
_atom_site_fract_y
_atom_site_fract_z
Co1 Co 0.000 0.000 0.000
Ni1 Ni 0.000 0.500 0.500
Ni2 Ni 0.500 0.000 0.500
Ni3 Ni 0.500 0.500 0.000
P1 P 0.500 0.500 0.500
```

Values from the calculation:
Relative energy among the computed polymorphs (eV/atom): 0.000
Energy of formation (meV per atom): 356
DFT total energy (eV per atom): -5.62
Magnetic moment (μB/atom): 0.4906

No. 9
The following is a DFT calculation (PBE-GGA) of crystalline CoNi4P at its relaxed geometry.

CIF file:
```
data_CoNi4P
_cell_length_a 4.631
_cell_length_b 4.631
_cell_length_c 4.631
_cell_angle_alpha 60.00
_cell_angle_beta 60.00
_cell_angle_gamma 60.00
_space_group_name_H-M_alt 'P 1'
_space_group_IT_number 1
loop_
_space_group_symop_operation_xyz
'x,y,z'
loop_
_atom_site_label
_atom_site_type_symbol
_atom_site_fract_x
_atom_site_fract_y
_atom_site_fract_z
Co1 Co 0.000 0.000 0.000
Ni1 Ni 0.124 0.625 0.625
Ni2 Ni 0.625 0.124 0.625
Ni3 Ni 0.625 0.625 0.124
Ni4 Ni 0.625 0.625 0.625
P1 P 0.250 0.250 0.250
```

Values from the calculation:
Energy of formation (meV per atom): 314
DFT total energy (eV per atom): -5.63
Magnetic moment (μB/atom): 0.4005

No. 10
The following is a DFT calculation (PBE-GGA) of crystalline CoNiP at its relaxed geometry.

CIF file:
```
data_CoNiP
_cell_length_a 5.199
_cell_length_b 5.199
_cell_length_c 5.199
_cell_angle_alpha 90.00
_cell_angle_beta 90.00
_cell_angle_gamma 90.00
_space_group_name_H-M_alt 'P 1'
_space_group_IT_number 1
loop_
_space_group_symop_operation_xyz
'x,y,z'
loop_
_atom_site_label
_atom_site_type_symbol
_atom_site_fract_x
_atom_site_fract_y
_atom_site_fract_z
Co1 Co 0.000 0.000 0.000
Co2 Co 0.000 0.500 0.500
Co3 Co 0.500 0.000 0.500
Co4 Co 0.500 0.500 0.000
Ni1 Ni 0.000 0.000 0.500
Ni2 Ni 0.000 0.500 0.000
Ni3 Ni 0.500 0.000 0.000
Ni4 Ni 0.500 0.500 0.500
P1 P 0.250 0.250 0.750
P2 P 0.250 0.750 0.250
P3 P 0.750 0.250 0.250
P4 P 0.750 0.750 0.750
```

Values from the calculation:
Energy of formation (meV per atom): -546
DFT total energy (eV per atom): -6.64
Magnetic moment (μB/atom): 0.0000

No. 11
The following is a DFT calculation (PBE-GGA) of crystalline Pa2Co12NiP3 at its relaxed geometry.

CIF file:
```
data_Pa2Co12NiP3
_cell_length_a 6.185
_cell_length_b 6.185
_cell_length_c 6.185
_cell_angle_alpha 82.03
_cell_angle_beta 82.03
_cell_angle_gamma 82.03
_space_group_name_H-M_alt 'P 1'
_space_group_IT_number 1
loop_
_space_group_symop_operation_xyz
'x,y,z'
loop_
_atom_site_label
_atom_site_type_symbol
_atom_site_fract_x
_atom_site_fract_y
_atom_site_fract_z
Pa1 Pa 0.140 0.140 0.140
Pa2 Pa 0.860 0.860 0.860
Co1 Co 0.126 0.126 0.603
Co2 Co 0.126 0.603 0.126
Co3 Co 0.172 0.684 0.684
Co4 Co 0.316 0.316 0.828
Co5 Co 0.316 0.828 0.316
Co6 Co 0.397 0.874 0.874
Co7 Co 0.603 0.126 0.126
Co8 Co 0.684 0.172 0.684
Co9 Co 0.684 0.684 0.172
Co10 Co 0.828 0.316 0.316
Co11 Co 0.874 0.397 0.874
Co12 Co 0.874 0.874 0.397
Ni1 Ni 0.500 0.500 0.500
P1 P 0.000 0.500 0.500
P2 P 0.500 0.000 0.500
P3 P 0.500 0.500 0.000
```

Values from the calculation:
Energy of formation (meV per atom): -78
DFT total energy (eV per atom): -7.09
Magnetic moment (μB/atom): 0.2940

No. 12
The following is a DFT calculation (PBE-GGA) of crystalline PaCo2NiP2 at its relaxed geometry.

CIF file:
```
data_PaCo2NiP2
_cell_length_a 3.879
_cell_length_b 3.879
_cell_length_c 6.255
_cell_angle_alpha 90.00
_cell_angle_beta 90.00
_cell_angle_gamma 120.00
_space_group_name_H-M_alt 'P 1'
_space_group_IT_number 1
loop_
_space_group_symop_operation_xyz
'x,y,z'
loop_
_atom_site_label
_atom_site_type_symbol
_atom_site_fract_x
_atom_site_fract_y
_atom_site_fract_z
Pa1 Pa 0.000 0.000 0.000
Co1 Co 0.333 0.667 0.670
Co2 Co 0.667 0.333 0.330
Ni1 Ni 0.000 0.000 0.500
P1 P 0.333 0.667 0.291
P2 P 0.667 0.333 0.709
```

Values from the calculation:
Energy of formation (meV per atom): -796
DFT total energy (eV per atom): -7.51
Magnetic moment (μB/atom): 0.0000

No. 13
The following is a DFT calculation (PBE-GGA) of crystalline PaCoNiP2 at its relaxed geometry.

CIF file:
```
data_PaCoNiP2
_cell_length_a 3.860
_cell_length_b 3.860
_cell_length_c 9.482
_cell_angle_alpha 90.00
_cell_angle_beta 90.00
_cell_angle_gamma 90.00
_space_group_name_H-M_alt 'P 1'
_space_group_IT_number 1
loop_
_space_group_symop_operation_xyz
'x,y,z'
loop_
_atom_site_label
_atom_site_type_symbol
_atom_site_fract_x
_atom_site_fract_y
_atom_site_fract_z
Pa1 Pa 0.000 0.000 0.000
Pa2 Pa 0.500 0.500 0.500
Co1 Co 0.000 0.500 0.250
Co2 Co 0.500 0.000 0.750
Ni1 Ni 0.000 0.500 0.750
Ni2 Ni 0.500 0.000 0.250
P1 P 0.000 0.000 0.376
P2 P 0.000 0.000 0.624
P3 P 0.500 0.500 0.124
P4 P 0.500 0.500 0.876
```

Values from the calculation:
Energy of formation (meV per atom): -919
DFT total energy (eV per atom): -7.56
Magnetic moment (μB/atom): 0.0000